# PaFeBiO6 (PBE+U, relaxed)
# Calculated total energy: -67.43 eV/f.u.
# Size of the total moment: 0.492 μB per atom
# Crystal system: tetragonal
data_PaFeBiO6
_chemical_formula_sum 'Pa2 Fe2 Bi2 O12'
_space_group_name_H-M_alt 'P 1'
_space_group_IT_number 1
_cell_length_a 5.013
_cell_length_b 5.013
_cell_length_c 10.120
_cell_angle_alpha 90.00
_cell_angle_beta 90.00
_cell_angle_gamma 90.00
loop_
_space_group_symop_operation_xyz
'x,y,z'
loop_
_atom_site_label
_atom_site_type_symbol
_atom_site_fract_x
_atom_site_fract_y
_atom_site_fract_z
O1 O 0.708 0.708 0.328
Pa1 Pa 0.500 0.500 0.168
O2 O 0.308 0.308 0.681
Pa2 Pa 0.000 0.000 0.668
Bi1 Bi 0.000 0.000 0.000
Fe1 Fe 0.500 0.500 0.832
O3 O 0.692 0.692 0.681
O4 O 0.792 0.208 0.828
O5 O 0.682 0.682 0.992
O6 O 0.208 0.792 0.828
O7 O 0.808 0.192 0.181
Fe2 Fe 0.000 0.000 0.332
O8 O 0.818 0.182 0.492
O9 O 0.318 0.318 0.992
O10 O 0.292 0.292 0.328
O11 O 0.182 0.818 0.492
O12 O 0.192 0.808 0.181
Bi2 Bi 0.500 0.500 0.500